Record 1
## Al2BiOs (GGA-PBE)

Data for a geometry-optimized Al2BiOs structure.

```
8
Lattice="-2.481 2.292 5.257 4.942 -2.051 3.227 3.847 5.013 3.344" Properties=species:S:1:pos:R:3 pbc="T T T"
Bi 1.298 3.712 6.422
Bi 0.000 0.000 0.000
Os 1.230 0.120 4.242
Al 3.581 0.405 3.848
Al 4.721 4.102 9.724
Al 0.188 2.282 4.187
Al 4.126 3.718 5.898
Os 5.010 1.541 5.407
```

Summary:
- DOS at the Fermi energy: 8.26 states/eV per cell
- Formation energy from the elements: 768 meV/atom
- Size of the total moment: 0.00 μB/f.u.
- Symmetry: I-42d

***

Record 2
## La12Sm3Cd (GGA-PBE)

Data for a geometry-optimized La12Sm3Cd structure.

```
16
Lattice="5.188 0.000 0.000 0.000 5.188 0.000 0.000 0.000 20.907" Properties=species:S:1:pos:R:3 pbc="T T T"
La 0.000 2.594 13.104
La 2.594 0.000 13.104
La 2.594 2.594 5.170
Sm 0.000 0.000 15.753
La 0.000 2.594 7.803
Sm 0.000 0.000 5.154
Cd 0.000 0.000 0.000
Sm 0.000 0.000 10.454
La 0.000 2.594 18.365
La 2.594 0.000 7.803
La 2.594 0.000 18.365
La 2.594 2.594 0.000
La 0.000 2.594 2.542
La 2.594 0.000 2.542
La 2.594 2.594 15.737
La 2.594 2.594 10.454
```

Summary:
- DOS at the Fermi energy: 23.37 states/eV per cell
- Formation energy from the elements: -22 meV/atom
- Size of the total moment: 0.00 μB/f.u.
- Symmetry: P4/mmm

***

Record 3
## BaPrSn3 (GGA-PBE)

Data for a geometry-optimized BaPrSn3 structure.

```
10
Lattice="-1.799 -1.042 -4.089 -2.589 -3.566 2.048 -10.207 11.603 1.536" Properties=species:S:1:pos:R:3 pbc="T T T"
Sn -11.308 9.010 1.394
Ba -12.342 5.716 0.115
Sn -5.604 -0.037 -1.384
Ba -2.254 1.280 -0.621
Sn -6.147 1.716 0.981
Sn -8.448 5.280 -1.487
Sn -8.991 7.032 0.879
Pr -6.032 3.217 -2.025
Pr -8.563 3.779 1.519
Sn -3.287 -2.015 -1.900
```

Summary:
- DOS at the Fermi energy: 4.90 states/eV per cell
- Formation energy from the elements: -616 meV/atom
- Size of the total moment: 0.00 μB/f.u.
- Symmetry: Cmcm

***

Record 4
## SmAlCuAu6 (GGA-PBE)

Data for a geometry-optimized SmAlCuAu6 structure.

```
18
Lattice="7.377 0.000 0.000 0.000 9.006 0.000 -3.689 -4.503 5.441" Properties=species:S:1:pos:R:3 pbc="T T T"
Au 3.689 6.755 0.974
Au 5.902 4.419 1.392
Sm 0.000 2.252 3.078
Au 2.213 4.419 4.049
Cu 1.844 -2.252 2.721
Au 3.689 -2.252 5.226
Au 1.476 4.419 1.392
Au -2.213 4.419 4.049
Au -2.213 0.084 4.049
Au 1.476 0.084 1.392
Au 0.000 -2.252 4.467
Au 0.000 6.755 0.216
Au 5.902 0.084 1.392
Al 3.689 0.000 0.000
Cu -1.844 -2.252 2.721
Sm 3.689 2.252 2.363
Al 3.689 4.503 0.000
Au 2.213 0.084 4.049
```

Summary:
- DOS at the Fermi energy: 6.64 states/eV per cell
- Formation energy from the elements: -246 meV/atom
- Size of the total moment: 0.00 μB/f.u.
- Symmetry: Imma